## Zn2OsRu (PBE-GGA)

Data for crystalline Zn2OsRu at its relaxed geometry.

The total DFT energy (no corrections) is -23.0 eV/f.u. The mass density comes out at 12.4 g cm⁻³. Its calculated volume is 56.7 Å³/f.u. The polymorph energy (0 for the lowest one) is 0.000 eV/atom. The magnetization is 0.0 μB/f.u. Its formation enthalpy at 0 K is 0.003 eV per atom.

The space group is P4mm (No. 99) and the conventional cell measures 2.822, 2.822 and 7.128 Å, with angles of 90.00, 90.00 and 90.00 degrees. The distinct sites, in fractional coordinates, are Zn at (0.000, 0.000, 0.000), Zn at (0.500, 0.500, 0.258), Os at (0.000, 0.000, 0.513) and Ru at (0.500, 0.500, 0.749).